Below is an optimized crystal structure of K2MoPtSe, with properties calculated at the PBE-GGA level.

a b c (Å): 6.5242 4.7035 6.5242
angles (deg): 90.00 90.00 90.00
With the nearest neighbours (Å) after each atom.
Positions (direct):
K (0.0000, 0.0000, 0.5000)  2 Mo 3.26
K (0.5000, 0.0000, 0.0000)  2 Mo 3.26
Mo (0.0000, 0.0000, 0.0000)  2 Se 2.35
Se (0.0000, 0.5000, 0.0000)  2 Mo 2.35
Pt (0.5000, 0.5000, 0.5000)  8 K 4.02

Values from the calculation:
Raw total energy (eV/atom): -3.66
D(E_F) (states/eV per atom): 0.9696
Magnetic moment (μB/atom): 0.7900